(1)
19
Lattice="4.484 2.589 4.588 -4.484 2.589 4.588 0.000 -5.178 4.588" Properties=species:S:1:pos:R:3 comment="Li2Pd15Au2 GGA-PBE optimized geometry" ef_mev_per_atom=54 volume_a3_per_atom=16.8 pbc="T T T"
Li 0.000 0.000 1.340
Li 0.000 0.000 12.425
Pd -4.484 0.000 6.883
Pd -1.487 -2.603 4.588
Pd -2.242 1.294 2.294
Pd -2.998 0.014 4.588
Pd -2.227 -1.286 6.857
Pd 1.487 -2.603 4.588
Pd -1.511 2.589 4.588
Pd 0.000 -2.572 6.908
Pd -2.227 1.286 6.908
Pd 2.242 1.294 2.294
Pd 2.227 -1.286 6.857
Pd 0.000 2.572 6.857
Pd 2.998 0.014 4.588
Pd 1.511 2.589 4.588
Pd 2.227 1.286 6.908
Au 0.000 0.000 4.040
Au 0.000 0.000 9.725


(2)
5
Lattice="5.198 0.000 0.000 0.000 5.198 0.000 0.000 0.000 5.198" Properties=species:S:1:pos:R:3 comment="In3MoOs GGA-PBE optimized geometry" ef_mev_per_atom=1707 volume_a3_per_atom=28.1 e_above_lowest_polymorph_ev_per_atom=0.6548 pbc="T T T"
In 0.000 0.000 2.599
In 0.000 2.599 0.000
In 2.599 0.000 0.000
Mo 0.000 0.000 0.000
Os 2.599 2.599 2.599


(3)
4
Lattice="-1.499 2.344 4.115 1.499 -2.344 4.115 1.499 2.344 -4.115" Properties=species:S:1:pos:R:3 comment="Al2TcOs GGA-PBE optimized geometry" ef_mev_per_atom=-155 volume_a3_per_atom=14.5 e_above_lowest_polymorph_ev_per_atom=0.1809 pbc="T T T"
Al 0.000 0.000 2.053
Al 0.000 0.000 6.177
Tc 0.000 2.344 0.000
Os 1.499 0.000 0.000